VASP calculation (GGA-PBE) on an optimized crystal structure of MgBi2RhO6.

DFT total energy ... -6.006 eV/atom
Size of the total moment ... 0.5 Bohr magnetons per cell
E_form (uncorrected) ... -1.3606 eV per atom
V ... 12.57 A^3/atom
DOS at the Fermi energy ... 12.64 states/eV/cell

Structure (CIF):
```
data_MgBi2RhO6
_chemical_formula_sum 'Mg2 Bi4 Rh2 O12'
_space_group_name_H-M_alt 'P 1 21/c 1'
_space_group_IT_number 14
_cell_length_a 5.498
_cell_length_b 5.799
_cell_length_c 9.558
_cell_angle_alpha 90.00
_cell_angle_beta 124.43
_cell_angle_gamma 90.00
loop_
_space_group_symop_operation_xyz
'x,y,z'
'-x,-y,-z'
'-x,y+1/2,-z+1/2'
'x,-y+1/2,z+1/2'
loop_
_atom_site_label
_atom_site_fract_x
_atom_site_fract_y
_atom_site_fract_z
Mg1 0.000 0.000 0.000
Bi1 0.245 0.061 0.736
Rh1 0.500 0.000 0.500
O1 0.149 0.041 0.255
O2 0.218 0.683 0.034
O3 0.367 0.213 0.061
```